The following is a PBE with a Hubbard U calculation of a relaxed structure of CsMnNF2, from Alexandria.

Structure (POSCAR):
```
CsMnNF2
1.0
4.549 0.000 0.000
0.000 4.549 0.000
0.000 0.000 4.008
Cs Mn N F
1 1 1 2
direct
0.000 0.000 0.000
0.500 0.500 0.500
0.500 0.500 0.000
0.000 0.500 0.500
0.500 0.000 0.500
```

Properties
mass density: 4.80 g cm⁻³
energy above the most stable polymorph in this dataset: 0.000 eV per atom
total magnetization: 3.00 μB/f.u.